# 1
First-principles (GGA-PBEsol) data for a relaxed MgTl5 crystal, as listed in Alexandria.

Lattice parameters (Å, degrees): 3.349 3.349 14.448 90.00 90.00 90.00
Space group P4/mmm (No. 123)
Asymmetric unit:
Mg (0.000, 0.000, 0.000) x1
Tl (0.000, 0.000, 0.321) x2
Tl (0.500, 0.500, 0.148) x2
Tl (0.500, 0.500, 0.500) x1

Computed properties:
**Energy of formation from the pure elements**: -11 meV/atom
**Crystal system**: tetragonal



# 2
First-principles (GGA-PBEsol) data for a relaxed SrCdTe crystal, as listed in Alexandria.

Lattice parameters (Å, degrees): 4.069 4.069 10.854 90.00 90.00 90.00
Space group I4mm (No. 107)
Asymmetric unit:
Sr (0.000, 0.000, 0.000) x2
Cd (0.000, 0.000, 0.683) x2
Te (0.000, 0.000, 0.326) x2

Computed properties:
**DFT total energy**: -8.79 eV/f.u.
**Crystal system**: tetragonal



# 3
First-principles (GGA-PBEsol) data for a relaxed LaCoP crystal, as listed in Alexandria.

Lattice parameters (Å, degrees): 3.051 3.051 10.761 90.00 90.00 90.00
Space group I4mm (No. 107)
Asymmetric unit:
La (0.000, 0.000, 0.000) x2
Co (0.000, 0.000, 0.710) x2
P (0.000, 0.000, 0.287) x2

Computed properties:
**Energy of formation from the pure elements**: -476 meV/atom
**Crystal system**: tetragonal



# 4
First-principles (GGA-PBEsol) data for a relaxed NaCd3 crystal, as listed in Alexandria.

Lattice parameters (Å, degrees): 6.988 6.988 6.988 90.00 90.00 90.00
Space group Fm-3m (No. 225)
Asymmetric unit:
Na (0.000, 0.000, 0.000) x4
Cd (0.000, 0.000, 0.500) x4
Cd (0.250, 0.250, 0.250) x8

Computed properties:
**Energy of formation from the pure elements**: -61 meV/atom
**Crystal system**: cubic



# 5
First-principles (GGA-PBEsol) data for a relaxed TlZn2Cl crystal, as listed in Alexandria.

Lattice parameters (Å, degrees): 3.736 5.773 8.004 90.00 90.00 90.00
Space group Cmmm (No. 65)
Asymmetric unit:
Tl (0.000, 0.000, 0.000) x2
Zn (0.000, 0.500, 0.266) x4
Cl (0.000, 0.000, 0.500) x2

Computed properties:
**DFT total energy**: -7.91 eV/f.u.
**Crystal system**: orthorhombic



# 6
First-principles (GGA-PBEsol) data for a relaxed CuTcCl2 crystal, as listed in Alexandria.

Lattice parameters (Å, degrees): 3.0779 3.0779 24.2994 90.00 90.00 120.00
Space group R3m (No. 160, hexagonal axes)
Asymmetric unit:
Cu (0.0000, 0.0000, 0.0000) x3
Tc (0.0000, 0.0000, 0.7452) x3
Cl (0.0000, 0.0000, 0.2720) x3
Cl (0.0000, 0.0000, 0.4772) x3

Computed properties:
**DFT total energy**: -19.76 eV/f.u.
**Crystal system**: trigonal



# 7
First-principles (GGA-PBEsol) data for a relaxed CrCoPb3 crystal, as listed in Alexandria.

Lattice parameters (Å, degrees): 5.084 5.084 5.084 90.00 90.00 90.00
Space group Pm-3m (No. 221)
Asymmetric unit:
Cr (0.000, 0.000, 0.000) x1
Co (0.500, 0.500, 0.500) x1
Pb (0.000, 0.000, 0.500) x3

Computed properties:
**Energy of formation from the pure elements**: 1100 meV/atom
**Crystal system**: cubic



# 8
First-principles (GGA-PBEsol) data for a relaxed CaBr3O crystal, as listed in Alexandria.

Lattice parameters (Å, degrees): 5.577 5.577 5.577 90.00 90.00 90.00
Space group Pm-3m (No. 221)
Asymmetric unit:
Ca (0.000, 0.000, 0.000) x1
Br (0.000, 0.000, 0.500) x3
O (0.500, 0.500, 0.500) x1

Computed properties:
**DFT total energy**: -14.41 eV/f.u.
**Crystal system**: cubic



# 9
First-principles (GGA-PBEsol) data for a relaxed TiB2Ru crystal, as listed in Alexandria.

Lattice parameters (Å, degrees): 5.406 5.406 5.406 90.00 90.00 90.00
Space group Fm-3m (No. 225)
Asymmetric unit:
Ti (0.000, 0.000, 0.000) x4
B (0.250, 0.250, 0.250) x8
Ru (0.000, 0.000, 0.500) x4

Computed properties:
**Energy of formation from the pure elements**: -197 meV/atom
**Crystal system**: cubic



# 10
First-principles (GGA-PBEsol) data for a relaxed VO2 crystal, as listed in Alexandria.

Lattice parameters (Å, degrees): 5.438 8.101 9.012 90.00 92.45 90.00
Space group Cc (No. 9)
Asymmetric unit:
V (0.000, 0.071, 0.000) x4
V (0.001, 0.429, 0.001) x4
V (0.214, 0.250, 0.259) x4
O (0.032, 0.251, 0.866) x4
O (0.136, 0.083, 0.383) x4
O (0.137, 0.416, 0.383) x4
O (0.299, 0.077, 0.102) x4
O (0.299, 0.423, 0.103) x4
O (0.425, 0.250, 0.634) x4

Computed properties:
**DFT total energy**: -27.05 eV/f.u.
**Crystal system**: monoclinic



# 11
First-principles (GGA-PBEsol) data for a relaxed ZnAgCl2 crystal, as listed in Alexandria.

Lattice parameters (Å, degrees): 3.853 3.853 5.416 90.00 90.00 90.00
Space group P4/mmm (No. 123)
Asymmetric unit:
Zn (0.000, 0.000, 0.000) x1
Ag (0.500, 0.500, 0.500) x1
Cl (0.000, 0.000, 0.500) x1
Cl (0.500, 0.500, 0.000) x1

Computed properties:
**DFT total energy**: -10.09 eV/f.u.
**Crystal system**: tetragonal



# 12
First-principles (GGA-PBEsol) data for a relaxed AlCd2Co crystal, as listed in Alexandria.

Lattice parameters (Å, degrees): 2.979 2.979 7.231 90.00 90.00 90.00
Space group P4mm (No. 99)
Asymmetric unit:
Al (0.000, 0.000, 0.000) x1
Cd (0.000, 0.000, 0.601) x1
Cd (0.500, 0.500, 0.290) x1
Co (0.500, 0.500, 0.847) x1

Computed properties:
**Energy of formation from the pure elements**: -44 meV/atom
**Crystal system**: tetragonal